Sr3Ag4Au2 | GGA-PBE | relaxed

The structure belongs to space group C2/m (No. 12); the cell edges are 11.624, 4.778 and 9.295 Å and the angles 90.00°, 111.22° and 90.00°. The inequivalent atoms are Sr at (0.000, 0.000, 0.000), Sr at (0.173, 0.500, 0.658), Ag at (0.042, 0.000, 0.378), Ag at (0.226, 0.500, 0.060) and Au at (0.106, 0.500, 0.273).

Its formation energy from the elements is -4.1 eV/f.u.

DyVFe4 | GGA-PBE | relaxed

The structure belongs to space group F-43m (No. 216); the cell edges are 7.003, 7.003 and 7.003 Å and the angles 90.00°, 90.00° and 90.00°. The inequivalent atoms are Dy at (0.000, 0.000, 0.000), V at (0.250, 0.250, 0.250) and Fe at (0.124, 0.124, 0.624).

Its formation energy from the elements is -0.1 eV/f.u.

Pu2CoRh | GGA-PBE | relaxed

The structure belongs to space group P4/mmm (No. 123); the cell edges are 3.374, 3.374 and 6.709 Å and the angles 90.00°, 90.00° and 90.00°. The inequivalent atoms are Pu at (0.000, 0.000, 0.242), Co at (0.500, 0.500, 0.000) and Rh at (0.500, 0.500, 0.500).

Its formation energy from the elements is -0.7 eV/f.u.

Pm2Sb2S7 | GGA-PBE | relaxed

The structure belongs to space group Imm2 (No. 44); the cell edges are 3.912, 14.498 and 9.061 Å and the angles 90.00°, 90.00° and 90.00°. The inequivalent atoms are Pm at (0.000, 0.000, 0.000), Pm at (0.000, 0.500, 0.034), Sb at (0.000, 0.257, 0.160), S at (0.000, 0.000, 0.317), S at (0.000, 0.107, 0.715), S at (0.000, 0.324, 0.908) and S at (0.000, 0.362, 0.545).

The formation energy from raw total energies is -0.82 eV/atom.

PmNd6Y2Ho | GGA-PBE | relaxed

The structure belongs to space group C2/c (No. 15); the cell edges are 9.450, 15.296 and 9.608 Å and the angles 90.00°, 96.10° and 90.00°. The inequivalent atoms are Pm at (0.000, 0.034, 0.250), Nd at (0.062, 0.175, 0.942), Nd at (0.093, 0.387, 0.116), Nd at (0.218, 0.223, 0.314), Y at (0.249, 0.453, 0.449) and Ho at (0.000, 0.411, 0.750).

Its formation energy from the elements is 1.2 eV/f.u.

NaSrH4Pt | GGA-PBE | relaxed

The structure belongs to space group Cmcm (No. 63); the cell edges are 5.267, 13.899 and 5.319 Å and the angles 90.00°, 90.00° and 90.00°. The inequivalent atoms are Na at (0.000, 0.116, 0.250), Sr at (0.000, 0.382, 0.250), H at (0.000, 0.128, 0.750), H at (0.000, 0.378, 0.750), H at (0.250, 0.250, 0.000) and Pt at (0.000, 0.252, 0.750).

As for the energy: -101.07 eV for the cell shown.

TiNb4W | GGA-PBE | relaxed

The structure belongs to space group P4/mmm (No. 123); the cell edges are 4.471, 4.471 and 6.127 Å and the angles 90.00°, 90.00° and 90.00°. The inequivalent atoms are Ti at (0.000, 0.000, 0.000), Nb at (0.000, 0.500, 0.248) and W at (0.500, 0.500, 0.500).

As for the distance to the lowest polymorph of the same formula: 707 meV/atom. Its formation energy from the elements is 4.7 eV/f.u.

Tb2AlFe2Co5 | GGA-PBE | relaxed

The structure belongs to space group P4/mbm (No. 127); the cell edges are 9.387, 9.387 and 3.364 Å and the angles 90.00°, 90.00° and 90.00°. The inequivalent atoms are Tb at (0.178, 0.322, 0.000), Al at (0.000, 0.000, 0.000), Fe at (0.121, 0.621, 0.000), Co at (0.000, 0.500, 0.500) and Co at (0.059, 0.794, 0.500).

Its formation energy from the elements is -0.5 eV/f.u.

| no. | total magnetic moment (μB/f.u.) |
| --- | --- |
| 1 | 0.00 |
| 2 | 5.65 |
| 3 | 9.35 |
| 4 | 0.00 |
| 5 | 0.00 |
| 6 | 0.00 |
| 7 | 0.00 |
| 8 | 10.18 |